[1]
A plane-wave DFT calculation with PBE-GGA was carried out for a relaxed structure of RbAsHIr.

Cell and atoms, written as extended XYZ:
```
8
Lattice="3.2426 0.0000 0.0000 0.0000 3.2426 0.0000 0.0000 0.0000 13.7566" Properties=species:S:1:pos:R:3 pbc="T T T"
As 0.0000 0.0000 8.1638
As 1.6213 1.6213 1.2856
Rb 1.6213 1.6213 5.3782
Rb 0.0000 0.0000 12.2565
H 0.0000 0.0000 4.1113
H 1.6213 1.6213 10.9896
Ir 0.0000 0.0000 2.4314
Ir 1.6213 1.6213 9.3097
```

Values from the calculation:
- Distance to the lowest polymorph of the same formula: 12.8 kJ/mol of atoms

---

[2]
A plane-wave DFT calculation with PBE-GGA was carried out for a relaxed structure of RbAsH2IrSe.

Cell and atoms, written as extended XYZ:
```
6
Lattice="5.7098 0.0000 0.0000 0.0000 3.9270 0.0000 -0.0311 0.0000 6.5378" Properties=species:S:1:pos:R:3 pbc="T T T"
Rb 3.1490 1.9635 0.5351
Ir 1.9525 0.0000 3.7995
H 2.0879 0.0000 2.1244
H 2.0820 0.0000 5.4745
Se 3.7254 1.9635 3.8049
As 0.6174 1.9635 3.7973
```

Values from the calculation:
- Distance to the lowest polymorph of the same formula: 6.0 kJ/mol of atoms

---

[3]
A plane-wave DFT calculation with PBE-GGA was carried out for a relaxed structure of RbAsH2IrSe.

Cell and atoms, written as extended XYZ:
```
12
Lattice="6.0250 0.0000 0.0137 0.0000 4.0075 0.0000 -3.1506 0.0000 11.6967" Properties=species:S:1:pos:R:3 pbc="T T T"
H 2.2302 2.0037 4.0724
H 1.2709 0.0000 0.7544
H -0.3044 2.0037 6.6027
H 0.6548 0.0000 9.9208
Se 4.2768 0.0000 2.2943
Se 2.7015 2.0037 8.1426
Ir 1.1793 0.0000 8.4384
Ir 2.7547 2.0037 2.5900
As -0.2428 2.0037 8.1902
As 1.3325 0.0000 2.3418
Rb 2.4467 2.0037 11.4568
Rb 4.0220 0.0000 5.6085
```

Values from the calculation:
- Distance to the lowest polymorph of the same formula: 9.0 kJ/mol of atoms